This record from the Alexandria database describes crystalline YUAs2Rh5 at its relaxed geometry. The functional is GGA-PBE.

Cell lengths 3.9565, 3.9565, 11.5000 Å; angles 90.00, 90.00, 90.00 degrees
Last column: nearest neighbours and their distance in Å.
Sites, in units of the cell vectors:
Y 0.0000 0.0000 0.0000  4 Rh 2.80
U 0.5000 0.5000 0.5000  8 Rh 2.69
As 0.5000 0.5000 0.2063  5 Rh 2.37-2.52
As 0.5000 0.5000 0.7937  5 Rh 2.37-2.52
Rh 0.0000 0.5000 0.3419  2 As 2.52, 2 U 2.69, 4 Rh 2.80
Rh 0.0000 0.5000 0.6581  2 As 2.52, 2 U 2.69, 4 Rh 2.80
Rh 0.5000 0.0000 0.3419  2 As 2.52, 2 U 2.69, 4 Rh 2.80
Rh 0.5000 0.0000 0.6581  2 As 2.52, 2 U 2.69, 4 Rh 2.80
Rh 0.5000 0.5000 0.0000  2 As 2.37

Summary:
The value obtained for the density of states at the Fermi level is 4.655 states/eV/cell. The magnetic moment is 0.00 μB per formula unit. The uncorrected energy is -7.5168 eV per atom.



This record from the Alexandria database describes crystalline LaRu2PtPb at its relaxed geometry. The functional is GGA-PBE.

Cell lengths 4.7247, 4.7247, 6.0102 Å; angles 90.00, 90.00, 90.00 degrees
Last column: nearest neighbours and their distance in Å.
Sites, in units of the cell vectors:
La 0.0000 0.0000 0.0000  4 Ru 2.36
Ru 0.0000 0.5000 0.0000  2 La 2.36
Ru 0.5000 0.0000 0.0000  2 La 2.36
Pt 0.5000 0.5000 0.5000  4 Pb 3.34
Pb 0.0000 0.0000 0.5000  2 La 3.01, 4 Pt 3.34

Summary:
The value obtained for the density of states at the Fermi level is 5.369 states/eV/cell. The magnetic moment is 1.51 μB per formula unit. The uncorrected energy is -4.9920 eV per atom.



This record from the Alexandria database describes crystalline Nd3PdO6 at its relaxed geometry. The functional is GGA-PBE.

Cell lengths 6.8685, 6.8685, 6.8685 Å; angles 93.24, 93.24, 93.24 degrees
Last column: nearest neighbours and their distance in Å.
Sites, in units of the cell vectors:
Nd 0.0650 0.5733 0.7551  6 O 2.31-2.47
Nd 0.2449 0.9350 0.4267  6 O 2.31-2.47
Nd 0.4267 0.2449 0.9350  6 O 2.31-2.47
Nd 0.5733 0.7551 0.0650  6 O 2.31-2.47
Nd 0.7551 0.0650 0.5733  6 O 2.31-2.47
Nd 0.9350 0.4267 0.2449  6 O 2.31-2.47
Pd 0.0000 0.0000 0.0000  6 O 2.07
Pd 0.5000 0.5000 0.5000  6 O 2.36
O 0.0401 0.9166 0.7108  1 Pd 2.07
O 0.0834 0.2893 0.9599  1 Pd 2.07
O 0.1800 0.5991 0.4379  3 Nd 2.31-2.37, 1 Pd 2.36
O 0.2892 0.9599 0.0834  1 Pd 2.07
O 0.4009 0.5621 0.8200  3 Nd 2.31-2.37, 1 Pd 2.36
O 0.4379 0.1800 0.5991  3 Nd 2.31-2.37, 1 Pd 2.36
O 0.5621 0.8200 0.4009  3 Nd 2.31-2.37, 1 Pd 2.36
O 0.5991 0.4379 0.1800  3 Nd 2.31-2.37, 1 Pd 2.36
O 0.7108 0.0401 0.9166  1 Pd 2.07
O 0.8200 0.4009 0.5621  3 Nd 2.31-2.37, 1 Pd 2.36
O 0.9166 0.7108 0.0401  1 Pd 2.07
O 0.9599 0.0834 0.2893  1 Pd 2.07

Summary:
The formation energy without anion corrections comes out at -2.559 eV/atom. The magnetic moment is 1.00 μB per formula unit. The uncorrected energy is -7.4835 eV per atom. The energy above the lowest structure with this stoichiometry comes out at 0.0000 eV per atom.



This record from the Alexandria database describes crystalline Sr4AlPb at its relaxed geometry. The functional is GGA-PBE.

Cell lengths 7.0285, 7.0285, 7.0285 Å; angles 60.00, 60.00, 60.00 degrees
Last column: nearest neighbours and their distance in Å.
Sites, in units of the cell vectors:
Sr 0.1251 0.1251 0.1251  6 Sr 3.51-3.52
Sr 0.1251 0.1251 0.6247  6 Sr 3.51-3.52
Sr 0.1251 0.6247 0.1251  6 Sr 3.51-3.52
Sr 0.6247 0.1251 0.1251  6 Sr 3.51-3.52
Al 0.7500 0.7500 0.7500  12 Sr 4.12, 4 Pb 4.30
Pb 0.5000 0.5000 0.5000  12 Sr 4.12, 4 Al 4.30

Summary:
The value obtained for the density of states at the Fermi level is 8.319 states/eV/cell. The magnetic moment is 0.00 μB per formula unit. The uncorrected energy is -1.9498 eV per atom.



This record from the Alexandria database describes crystalline YMgH3 at its relaxed geometry. The functional is GGA-PBE.

Cell lengths 4.1536, 4.1536, 4.1536 Å; angles 90.00, 90.00, 90.00 degrees
Last column: nearest neighbours and their distance in Å.
Sites, in units of the cell vectors:
Y 0.0000 0.0000 0.0000  6 H 2.08
Mg 0.5000 0.5000 0.5000  12 H 2.94
H 0.0000 0.0000 0.5000  2 Y 2.08
H 0.0000 0.5000 0.0000  2 Y 2.08
H 0.5000 0.0000 0.0000  2 Y 2.08

Summary:
The value obtained for the density of states at the Fermi level is 1.180 states/eV/cell. The magnetic moment is 0.00 μB per formula unit. The uncorrected energy is -3.7562 eV per atom. The energy above the lowest structure with this stoichiometry comes out at 0.0000 eV per atom.



This record from the Alexandria database describes crystalline LiPSe2 at its relaxed geometry. The functional is GGA-PBE.

Cell lengths 7.4674, 7.4674, 7.4674 Å; angles 135.47, 135.47, 64.80 degrees
Last column: nearest neighbours and their distance in Å.
Sites, in units of the cell vectors:
Li 0.0000 0.0000 0.0000  4 Se 2.63
Li 0.7500 0.2500 0.5000  4 Se 2.63
P 0.2500 0.7500 0.5000  4 Se 2.47
P 0.5000 0.5000 0.0000  4 Se 2.47
Se 0.1496 0.6250 0.0246  2 P 2.47, 2 Li 2.63
Se 0.3750 0.3996 0.5246  2 P 2.47, 2 Li 2.63
Se 0.6004 0.1250 0.9754  2 P 2.47, 2 Li 2.63
Se 0.8750 0.8504 0.4754  2 P 2.47, 2 Li 2.63

Summary:
The formation energy without anion corrections comes out at -0.286 eV/atom. The value obtained for the density of states at the Fermi level is 1.548 states/eV/cell. The magnetic moment is 0.00 μB per formula unit. The uncorrected energy is -3.8590 eV per atom.



This record from the Alexandria database describes crystalline ScGaBi3 at its relaxed geometry. The functional is GGA-PBE.

Cell lengths 5.4453, 5.4453, 5.4453 Å; angles 90.00, 90.00, 90.00 degrees
Last column: nearest neighbours and their distance in Å.
Sites, in units of the cell vectors:
Sc 0.0000 0.0000 0.0000  12 Bi 3.85
Ga 0.5000 0.5000 0.5000  6 Bi 2.72
Bi 0.0000 0.5000 0.5000  2 Ga 2.72
Bi 0.5000 0.0000 0.5000  2 Ga 2.72
Bi 0.5000 0.5000 0.0000  2 Ga 2.72

Summary:
The value obtained for the density of states at the Fermi level is 5.376 states/eV/cell. The magnetic moment is 0.00 μB per formula unit. The uncorrected energy is -3.7449 eV per atom. The energy above the lowest structure with this stoichiometry comes out at 0.2492 eV per atom.



This record from the Alexandria database describes crystalline SmHgBiPb at its relaxed geometry. The functional is GGA-PBE.

Cell lengths 4.6570, 4.8255, 5.0395 Å; angles 90.00, 90.00, 90.00 degrees
Last column: nearest neighbours and their distance in Å.
Sites, in units of the cell vectors:
Sm 0.0000 0.0000 0.0000  4 Bi 3.35, 4 Pb 3.43, 4 Hg 3.49
Hg 0.0000 0.5000 0.5000  4 Pb 3.35, 4 Bi 3.43, 4 Sm 3.49
Bi 0.5000 0.5000 0.0000  4 Sm 3.35, 4 Hg 3.43, 4 Pb 3.49
Pb 0.5000 0.0000 0.5000  4 Hg 3.35, 4 Sm 3.43, 4 Bi 3.49

Summary:
The value obtained for the density of states at the Fermi level is 1.221 states/eV/cell. The magnetic moment is 0.00 μB per formula unit. The uncorrected energy is -3.5590 eV per atom. The energy above the lowest structure with this stoichiometry comes out at 0.0000 eV per atom.



This record from the Alexandria database describes crystalline Y2PPb at its relaxed geometry. The functional is GGA-PBE.

Cell lengths 6.5821, 6.5821, 6.5821 Å; angles 106.71, 106.71, 115.15 degrees
Last column: nearest neighbours and their distance in Å.
Sites, in units of the cell vectors:
Y 0.0853 0.6250 0.9603  2 P 2.71
Y 0.3750 0.3353 0.4603  2 P 2.71
Y 0.6647 0.1250 0.0397  2 P 2.71
Y 0.8750 0.9147 0.5397  2 P 2.71
P 0.0000 0.0000 0.0000  4 Y 2.71
P 0.7500 0.2500 0.5000  4 Y 2.71
Pb 0.2500 0.7500 0.5000  4 Y 3.13
Pb 0.5000 0.5000 0.0000  4 Y 3.13

Summary:
The value obtained for the density of states at the Fermi level is 4.457 states/eV/cell. The magnetic moment is 0.00 μB per formula unit. The uncorrected energy is -6.2224 eV per atom. The energy above the lowest structure with this stoichiometry comes out at 0.3744 eV per atom.



This record from the Alexandria database describes crystalline TiNiPt3 at its relaxed geometry. The functional is GGA-PBE.

Cell lengths 7.2682, 7.2682, 5.5121 Å; angles 100.06, 100.06, 30.77 degrees
Last column: nearest neighbours and their distance in Å.
Sites, in units of the cell vectors:
Ti 0.1071 0.1071 0.0596  9 Pt 2.62-2.84, 2 Ni 2.68
Ti 0.8929 0.8929 0.9404  9 Pt 2.62-2.84, 2 Ni 2.68
Ni 0.3012 0.3012 0.6519  8 Pt 2.65-2.78, 2 Ti 2.68, 2 Ni 2.78
Ni 0.6988 0.6988 0.3481  8 Pt 2.65-2.78, 2 Ti 2.68, 2 Ni 2.78
Pt 0.1088 0.1088 0.5462  3 Ni 2.65, 2 Ti 2.68-2.83, 6 Pt 2.72-2.86
Pt 0.2975 0.2975 0.1540  3 Ti 2.62-2.73, 4 Ni 2.70-2.78, 5 Pt 2.72-2.85
Pt 0.4958 0.4958 0.7536  1 Ni 2.68, 7 Pt 2.70-2.86, 4 Ti 2.72-2.84
Pt 0.5042 0.5042 0.2464  1 Ni 2.68, 7 Pt 2.70-2.86, 4 Ti 2.72-2.84
Pt 0.7025 0.7025 0.8460  3 Ti 2.62-2.73, 4 Ni 2.70-2.78, 5 Pt 2.72-2.85
Pt 0.8912 0.8912 0.4538  3 Ni 2.65, 2 Ti 2.68-2.83, 6 Pt 2.72-2.86

Summary:
The value obtained for the density of states at the Fermi level is 10.355 states/eV/cell. The magnetic moment is 0.00 μB per formula unit. The uncorrected energy is -6.9903 eV per atom. The energy above the lowest structure with this stoichiometry comes out at 0.0000 eV per atom.



This record from the Alexandria database describes crystalline Ca2TlBiPt at its relaxed geometry. The functional is GGA-PBE.

Cell lengths 5.5271, 5.5271, 5.1956 Å; angles 90.00, 90.00, 90.00 degrees
Last column: nearest neighbours and their distance in Å.
Sites, in units of the cell vectors:
Ca 0.0000 0.5000 0.0000  2 Pt 2.76
Ca 0.5000 0.0000 0.0000  2 Pt 2.76
Tl 0.0000 0.0000 0.5000  2 Pt 2.60
Bi 0.5000 0.5000 0.5000  8 Ca 3.79, 4 Tl 3.91
Pt 0.0000 0.0000 0.0000  2 Tl 2.60, 4 Ca 2.76

Summary:
The value obtained for the density of states at the Fermi level is 0.654 states/eV/cell. The magnetic moment is 0.00 μB per formula unit. The uncorrected energy is -3.8258 eV per atom.



This record from the Alexandria database describes crystalline SrCoC2 at its relaxed geometry. The functional is GGA-PBE.

Cell lengths 4.1314, 4.1314, 4.1314 Å; angles 60.00, 60.00, 60.00 degrees
Last column: nearest neighbours and their distance in Å.
Sites, in units of the cell vectors:
Sr 0.0000 0.0000 0.0000  8 C 2.53
Co 0.5000 0.5000 0.5000  8 C 2.53
C 0.2500 0.2500 0.2500  4 Co 2.53, 4 Sr 2.53
C 0.7500 0.7500 0.7500  4 Sr 2.53, 4 Co 2.53

Summary:
The value obtained for the density of states at the Fermi level is 2.824 states/eV/cell. The magnetic moment is 0.00 μB per formula unit. The uncorrected energy is -5.0366 eV per atom.



Which value of magnetic moment does entry 1 give?
0.00 μB per formula unit



Look up the magnetic moment of the tenth one.
0.00 μB per formula unit



Among the records above, which one has the lowest uncorrected energy?
YUAs2Rh5